No. 1
Density functional theory data (PBE) for crystalline KGaSn2 at its relaxed geometry.

abc: 3.4541 6.8763 10.2498
angles: 98.58 99.24 90.58
Last column: nearest neighbours and their distance in Å.
Space group P-1 (No. 2)
Unique sites:
K 0.1354 0.0783 0.2833 [2 per cell]  2 K 3.45, 7 Sn 3.53-3.70, 2 Ga 3.78
Ga 0.3927 0.4617 0.7918 [2 per cell]  4 Sn 2.77-2.88
Sn 0.2203 0.6480 0.4341 [2 per cell]  2 Ga 2.87-2.88, 2 Sn 3.12-3.13
Sn 0.4980 0.7677 0.0043 [2 per cell]  2 Ga 2.77-2.78

Results
* E_tot: -3.13 eV per atom
* density of states at the Fermi level: 0.39 states/eV/atom
* calculated volume: 237.45 Å³/cell
* formation energy: -2.3 kcal/mol of atoms

***

No. 2
Density functional theory data (PBE) for crystalline KGa4Sn2 at its relaxed geometry.

abc: 5.0852 15.2255 4.7568
angles: 90.00 90.00 90.00
Last column: nearest neighbours and their distance in Å.
Space group Cmmm (No. 65)
Unique sites:
K 0.0000 0.0000 0.0000 [2 per cell]  8 Ga 3.74-4.10, 8 Sn 3.83
Ga 0.0000 0.1895 0.5000 [4 per cell]  4 Ga 2.82-3.14, 3 Sn 2.85-3.13
Ga 0.0000 0.2887 0.0000 [4 per cell]  4 Ga 2.80-2.82, 2 Sn 2.88
Sn 0.0000 0.3953 0.5000 [4 per cell]  5 Ga 2.85-3.13, 1 Sn 3.19

Results
* E_tot: -3.11 eV per atom
* density of states at the Fermi level: 0.34 states/eV/atom
* calculated volume: 368.29 Å³/cell
* energy above the most stable polymorph in this dataset: 0.000 eV per formula unit
* formation energy: -1.9 kcal/mol of atoms

***

No. 3
Density functional theory data (PBE) for crystalline K5Ga4Sn2 at its relaxed geometry.

abc: 12.6572 6.9793 8.5560
angles: 90.00 111.78 90.00
Last column: nearest neighbours and their distance in Å.
Space group C2/m (No. 12)
Unique sites:
K 0.0000 0.0000 0.0000 [2 per cell]  6 Ga 3.46-3.72, 4 K 3.53, 2 Sn 3.55
K 0.0972 0.2595 0.3811 [8 per cell]  5 K 3.36-3.73, 2 Ga 3.55-3.67, 1 Sn 3.71
Ga 0.0943 0.5000 0.9781 [4 per cell]  2 Ga 2.52-2.55, 1 Sn 2.69
Ga 0.2079 0.5000 0.7913 [4 per cell]  1 Ga 2.52
Sn 0.1936 0.0000 0.7883 [4 per cell]  1 Ga 2.69

Results
* E_tot: -2.33 eV per atom
* density of states at the Fermi level: 0.30 states/eV/atom
* calculated volume: 701.88 Å³/cell
* formation energy: 0.0 kcal/mol of atoms

***

No. 4
Density functional theory data (PBE) for crystalline KGa2Sn3 at its relaxed geometry.

abc: 6.4903 6.4903 4.7760
angles: 90.00 90.00 120.00
Last column: nearest neighbours and their distance in Å.
Space group P6/mmm (No. 191)
Unique sites:
K 0.0000 0.0000 0.0000 [1 per cell]  6 Ga 3.75, 12 Sn 4.03
Ga 0.3333 0.6667 0.0000 [2 per cell]  6 Sn 3.04
Sn 0.0000 0.5000 0.5000 [3 per cell]  4 Ga 3.04, 4 Sn 3.25

Results
* E_tot: -3.24 eV per atom
* density of states at the Fermi level: 0.79 states/eV/atom
* calculated volume: 174.23 Å³/cell
* energy above the most stable polymorph in this dataset: 0.095 eV per formula unit
* formation energy: -1.1 kcal/mol of atoms

***

No. 5
Density functional theory data (PBE) for crystalline K3Ga3Sn8 at its relaxed geometry.

abc: 5.1485 11.7232 13.6306
angles: 90.00 90.00 90.00
Last column: nearest neighbours and their distance in Å.
Space group Immm (No. 71)
Unique sites:
K 0.0000 0.0000 0.0000 [2 per cell]  12 Sn 3.64-3.83, 2 K 4.06
K 0.0000 0.0000 0.2981 [4 per cell]  4 Ga 3.44-3.77, 8 Sn 3.70-3.71
Ga 0.0000 0.1757 0.5000 [4 per cell]  6 Sn 2.93-3.18
Ga 0.0000 0.5000 0.0000 [2 per cell]  4 Sn 3.09, 4 Ga 3.30
Sn 0.0000 0.2869 0.1337 [8 per cell]  3 Ga 3.09-3.18, 3 Sn 3.10-3.13
Sn 0.0000 0.3604 0.3548 [8 per cell]  1 Ga 2.93, 4 Sn 3.10-3.27

Results
* E_tot: -3.28 eV per atom
* density of states at the Fermi level: 0.43 states/eV/atom
* calculated volume: 822.70 Å³/cell
* formation energy: -2.4 kcal/mol of atoms

***

No. 6
Density functional theory data (PBE) for crystalline K2GaSn6 at its relaxed geometry.

abc: 7.4285 7.4285 18.1773
angles: 90.00 90.00 120.00
Last column: nearest neighbours and their distance in Å.
Space group R-3m (No. 166, hexagonal axes)
Unique sites:
K 0.0000 0.0000 0.2499 [6 per cell]  12 Sn 3.73-3.74
Ga 0.0000 0.0000 0.0000 [3 per cell]  6 Sn 3.02
Sn 0.0509 0.5254 0.2375 [18 per cell]  1 Ga 3.02, 4 Sn 3.15

Results
* E_tot: -3.30 eV per atom
* density of states at the Fermi level: 0.80 states/eV/atom
* calculated volume: 868.52 Å³/cell
* formation energy: -1.3 kcal/mol of atoms